1.
CsMgPbCl6 | Alexandria | PBE-GGA | optimized geometry; E_form (uncorrected) = -12.9 eV/f.u.
1.0
-3.9143 -3.7493 4.3235
-2.4497 -6.1684 -2.0053
6.3278 -3.4135 2.7679
Cl Pb Mg Cs
6 1 1 1
direct
0.9765 0.6292 0.6975
0.9766 0.3942 0.3025
0.3942 0.9766 0.6974
0.3944 0.6291 0.3024
0.6290 0.3944 0.6976
0.6292 0.9765 0.3024
0.3334 0.3334 0.5000
0.6666 0.6667 0.5000
0.0000 0.0000 0.0000

=====

2.
PmSn6 | Alexandria | PBE-GGA | optimized geometry; ΔE_f = 365 meV/atom
1.0
-1.2574 4.9583 4.7528
3.8395 -5.0689 2.8844
3.4708 2.7684 -5.3893
Sn Pm
6 1
direct
0.7500 0.2500 0.5000
0.5000 0.7500 0.2500
0.7500 0.5000 0.2500
0.2500 0.7500 0.5000
0.5000 0.2500 0.7500
0.2500 0.5000 0.7500
0.0000 0.0000 0.0000

=====

3.
CuINO2 | Alexandria | PBE-GGA | optimized geometry; E_form (uncorrected) = 4.2 eV/f.u.
1.0
-1.1668 -2.4821 2.6570
0.7094 -2.8923 -2.3903
3.6989 -0.2455 1.3950
O N Cu I
2 1 1 1
direct
0.5000 0.0000 0.0000
0.0000 0.5000 0.0000
0.0000 0.0000 0.5000
0.0000 0.0000 0.0000
0.5000 0.5000 0.5000

=====

4.
MnZnGaCu | Alexandria | PBE-GGA | optimized geometry; ΔE_f = -69 meV/atom
1.0
-3.4768 -0.5395 0.5275
0.5870 -0.0997 3.7664
-0.5789 3.9203 0.1940
Cu Mn Zn Ga
1 1 1 1
direct
0.0000 0.0000 0.0000
0.0000 0.5000 0.5000
0.5000 0.5000 0.0000
0.5000 0.0000 0.5000